# 1
A plane-wave DFT calculation with PBE was carried out for crystalline LaTb2FeN4 at its relaxed geometry.

Output
Its space-group type is No. 63. The density of states at the Fermi level comes out at 2.97 states/eV/f.u. As for the uncorrected formation energy: -1.12 eV per atom. The calculation puts the calculated total energy at -8.12 eV per atom.

a = 6.0390 Å, b = 6.0390 Å, c = 11.6657 Å
α = 90.00°, β = 90.00°, γ = 146.86°
With the nearest neighbours (Å) after each atom.
Atoms (fractional coordinates):
La (0.1139, 0.8861, 0.7500)  4 N 2.62
La (0.8861, 0.1139, 0.2500)  4 N 2.62
Tb (0.3677, 0.6323, 0.5448)  6 N 2.34-2.52
Tb (0.3677, 0.6323, 0.9552)  6 N 2.34-2.52
Tb (0.6323, 0.3677, 0.0448)  6 N 2.34-2.52
Tb (0.6323, 0.3677, 0.4552)  6 N 2.34-2.52
Fe (0.1593, 0.8407, 0.2500)  4 N 1.88
Fe (0.8407, 0.1593, 0.7500)  4 N 1.88
N (0.0000, 0.0000, 0.0000)  4 Tb 2.36
N (0.0000, 0.0000, 0.5000)  4 Tb 2.36
N (0.2668, 0.7332, 0.1291)  1 Fe 1.88
N (0.2668, 0.7332, 0.3709)  1 Fe 1.88
N (0.4053, 0.5947, 0.7500)  2 Fe 1.88
N (0.5947, 0.4053, 0.2500)  2 Fe 1.88
N (0.7332, 0.2668, 0.6291)  1 Fe 1.88
N (0.7332, 0.2668, 0.8709)  1 Fe 1.88



# 2
A plane-wave DFT calculation with PBE was carried out for crystalline LaFeTeN2 at its relaxed geometry.

Output
Its space-group type is No. 123. The density of states at the Fermi level comes out at 7.22 states/eV/f.u. As for the uncorrected formation energy: 1.02 eV per atom. The calculation puts the calculated total energy at -5.62 eV per atom.

a = 4.1926 Å, b = 4.1926 Å, c = 6.9309 Å
α = 90.00°, β = 90.00°, γ = 90.00°
With the nearest neighbours (Å) after each atom.
Atoms (fractional coordinates):
La (0.0000, 0.0000, 0.0000)  4 N 2.10
Fe (0.5000, 0.5000, 0.5000)  4 Te 2.96
Te (0.0000, 0.0000, 0.5000)  4 Fe 2.96
N (0.0000, 0.5000, 0.0000)  2 La 2.10
N (0.5000, 0.0000, 0.0000)  2 La 2.10



# 3
A plane-wave DFT calculation with PBE was carried out for crystalline LaFeTeN2 at its relaxed geometry.

Output
Its space-group type is No. 123. The density of states at the Fermi level comes out at 2.83 states/eV/f.u. As for the uncorrected formation energy: 0.37 eV per atom. The calculation puts the calculated total energy at -6.27 eV per atom.

a = 4.1973 Å, b = 4.1973 Å, c = 5.0206 Å
α = 90.00°, β = 90.00°, γ = 90.00°
With the nearest neighbours (Å) after each atom.
Atoms (fractional coordinates):
La (0.0000, 0.0000, 0.0000)  4 Te 2.97, 8 N 3.27
Fe (0.5000, 0.5000, 0.5000)  4 N 2.10
Te (0.5000, 0.5000, 0.0000)  2 Fe 2.51
N (0.0000, 0.5000, 0.5000)  2 Fe 2.10
N (0.5000, 0.0000, 0.5000)  2 Fe 2.10



# 4
A plane-wave DFT calculation with PBE was carried out for crystalline LaThFeN4 at its relaxed geometry.

Output
Its space-group type is No. 107. The density of states at the Fermi level comes out at 2.35 states/eV/f.u. As for the uncorrected formation energy: -0.88 eV per atom. The calculation puts the calculated total energy at -8.61 eV per atom.

a = 3.8065 Å, b = 3.8065 Å, c = 12.6400 Å
α = 90.00°, β = 90.00°, γ = 90.00°
With the nearest neighbours (Å) after each atom.
Atoms (fractional coordinates):
La (0.0000, 0.0000, 0.0000)  5 N 2.39-2.67
La (0.5000, 0.5000, 0.5000)  5 N 2.39-2.67
Th (0.0000, 0.0000, 0.7194)  9 N 2.47-2.72
Th (0.5000, 0.5000, 0.2194)  9 N 2.47-2.72
Fe (0.0000, 0.0000, 0.3690)  5 N 1.92-1.96
Fe (0.5000, 0.5000, 0.8690)  5 N 1.92-1.96
N (0.0000, 0.0000, 0.1889)  1 Fe 2.28, 1 La 2.39
N (0.0000, 0.0000, 0.5242)  1 Fe 1.96
N (0.0000, 0.5000, 0.3516)  2 Fe 1.92
N (0.0000, 0.5000, 0.8516)  2 Fe 1.92
N (0.5000, 0.0000, 0.3516)  2 Fe 1.92
N (0.5000, 0.0000, 0.8516)  2 Fe 1.92
N (0.5000, 0.5000, 0.0242)  1 Fe 1.96
N (0.5000, 0.5000, 0.6889)  1 Fe 2.28, 1 La 2.39



# 5
A plane-wave DFT calculation with PBE was carried out for crystalline LaTh2FeN5 at its relaxed geometry.

Output
Its space-group type is No. 140. The density of states at the Fermi level comes out at 2.95 states/eV/f.u. As for the uncorrected formation energy: -1.15 eV per atom. The calculation puts the calculated total energy at -8.91 eV per atom.

a = 7.4315 Å, b = 7.4315 Å, c = 7.4315 Å
α = 125.69°, β = 125.69°, γ = 80.40°
With the nearest neighbours (Å) after each atom.
Atoms (fractional coordinates):
La (0.2500, 0.2500, 0.0000)  10 N 2.84-2.90
La (0.7500, 0.7500, 0.0000)  10 N 2.84-2.90
Th (0.1770, 0.6770, 0.8541)  4 N 2.39-2.50
Th (0.3230, 0.1770, 0.5000)  4 N 2.39-2.50
Th (0.6770, 0.8230, 0.5000)  4 N 2.39-2.50
Th (0.8230, 0.3230, 0.1459)  4 N 2.39-2.50
Fe (0.2500, 0.7500, 0.5000)  4 N 1.82
Fe (0.7500, 0.2500, 0.5000)  4 N 1.82
N (0.0000, 0.0000, 0.0000)  4 Th 2.50
N (0.0025, 0.7800, 0.5000)  1 Fe 1.82
N (0.2200, 0.7200, 0.2225)  1 Fe 1.82
N (0.2800, 0.5025, 0.5000)  1 Fe 1.82
N (0.4975, 0.9975, 0.7775)  1 Fe 1.82
N (0.5000, 0.5000, 0.0000)  4 Th 2.50
N (0.5025, 0.0025, 0.2225)  1 Fe 1.82
N (0.7200, 0.4975, 0.5000)  1 Fe 1.82
N (0.7800, 0.2800, 0.7775)  1 Fe 1.82
N (0.9975, 0.2200, 0.5000)  1 Fe 1.82



# 6
A plane-wave DFT calculation with PBE was carried out for crystalline LaVFe2N at its relaxed geometry.

Output
Its space-group type is No. 123. The density of states at the Fermi level comes out at 6.92 states/eV/f.u. As for the uncorrected formation energy: 0.30 eV per atom. The calculation puts the calculated total energy at -7.56 eV per atom.

a = 3.8961 Å, b = 3.8961 Å, c = 4.9981 Å
α = 90.00°, β = 90.00°, γ = 90.00°
With the nearest neighbours (Å) after each atom.
Atoms (fractional coordinates):
La (0.0000, 0.0000, 0.0000)  2 N 2.50, 4 V 2.75
V (0.5000, 0.5000, 0.0000)  4 La 2.75
Fe (0.0000, 0.5000, 0.5000)  2 N 1.95
Fe (0.5000, 0.0000, 0.5000)  2 N 1.95
N (0.0000, 0.0000, 0.5000)  4 Fe 1.95



# 7
A plane-wave DFT calculation with PBE was carried out for crystalline LaVFeN2 at its relaxed geometry.

Output
Its space-group type is No. 123. The density of states at the Fermi level comes out at 6.91 states/eV/f.u. As for the uncorrected formation energy: 0.88 eV per atom. The calculation puts the calculated total energy at -6.96 eV per atom.

a = 3.8706 Å, b = 3.8706 Å, c = 5.5149 Å
α = 90.00°, β = 90.00°, γ = 90.00°
With the nearest neighbours (Å) after each atom.
Atoms (fractional coordinates):
La (0.0000, 0.0000, 0.0000)  4 Fe 2.74, 2 V 2.76
V (0.0000, 0.0000, 0.5000)  4 N 1.94
Fe (0.5000, 0.5000, 0.0000)  4 La 2.74
N (0.0000, 0.5000, 0.5000)  2 V 1.94
N (0.5000, 0.0000, 0.5000)  2 V 1.94



# 8
A plane-wave DFT calculation with PBE was carried out for crystalline LaY2FeN4 at its relaxed geometry.

Output
Its space-group type is No. 63. The density of states at the Fermi level comes out at 2.79 states/eV/f.u. As for the uncorrected formation energy: -1.13 eV per atom. The calculation puts the calculated total energy at -8.59 eV per atom.

a = 6.0158 Å, b = 6.0158 Å, c = 11.6378 Å
α = 90.00°, β = 90.00°, γ = 146.82°
With the nearest neighbours (Å) after each atom.
Atoms (fractional coordinates):
La (0.1141, 0.8859, 0.7500)  4 N 2.62
La (0.8859, 0.1141, 0.2500)  4 N 2.62
Y (0.3678, 0.6322, 0.5448)  6 N 2.33-2.51
Y (0.3678, 0.6322, 0.9552)  6 N 2.33-2.51
Y (0.6322, 0.3678, 0.0448)  6 N 2.33-2.51
Y (0.6322, 0.3678, 0.4552)  6 N 2.33-2.51
Fe (0.1587, 0.8413, 0.2500)  4 N 1.87-1.88
Fe (0.8413, 0.1587, 0.7500)  4 N 1.87-1.88
N (0.0000, 0.0000, 0.0000)  4 Y 2.36
N (0.0000, 0.0000, 0.5000)  4 Y 2.36
N (0.2663, 0.7337, 0.1285)  1 Fe 1.88
N (0.2663, 0.7337, 0.3715)  1 Fe 1.88
N (0.4060, 0.5940, 0.7500)  2 Fe 1.87
N (0.5940, 0.4060, 0.2500)  2 Fe 1.87
N (0.7337, 0.2663, 0.6285)  1 Fe 1.88
N (0.7337, 0.2663, 0.8715)  1 Fe 1.88



# 9
A plane-wave DFT calculation with PBE was carried out for crystalline LaZr2FeN4 at its relaxed geometry.

Output
Its space-group type is No. 63. The density of states at the Fermi level comes out at 3.62 states/eV/f.u. As for the uncorrected formation energy: -1.27 eV per atom. The calculation puts the calculated total energy at -9.25 eV per atom.

a = 5.8544 Å, b = 5.8544 Å, c = 11.1804 Å
α = 90.00°, β = 90.00°, γ = 147.22°
With the nearest neighbours (Å) after each atom.
Atoms (fractional coordinates):
La (0.1002, 0.8998, 0.7500)  6 N 2.51-2.70
La (0.8998, 0.1002, 0.2500)  6 N 2.51-2.70
Zr (0.3673, 0.6327, 0.5500)  6 N 2.16-2.35
Zr (0.3673, 0.6327, 0.9500)  6 N 2.16-2.35
Zr (0.6327, 0.3673, 0.0500)  6 N 2.16-2.35
Zr (0.6327, 0.3673, 0.4500)  6 N 2.16-2.35
Fe (0.1626, 0.8374, 0.2500)  4 N 1.91-1.96
Fe (0.8374, 0.1626, 0.7500)  4 N 1.91-1.96
N (0.0000, 0.0000, 0.0000)  4 Zr 2.29
N (0.0000, 0.0000, 0.5000)  4 Zr 2.29
N (0.2660, 0.7340, 0.1142)  1 Fe 1.91
N (0.2660, 0.7340, 0.3858)  1 Fe 1.91
N (0.4317, 0.5683, 0.7500)  2 Fe 1.96
N (0.5683, 0.4317, 0.2500)  2 Fe 1.96
N (0.7340, 0.2660, 0.6142)  1 Fe 1.91
N (0.7340, 0.2660, 0.8858)  1 Fe 1.91